SrLi3V4O12 after structural relaxation. Source: Alexandria, functional PBE+U.

## Properties
The calculation puts the size of the total moment at 1.00 μB/f.u. The value obtained for the total energy is -131.8 eV for the cell shown.

Unit cell a=6.9037 b=6.9037 c=6.9037 alpha=109.52 beta=109.52 gamma=109.52
Last column: nearest neighbours and their distance in Å.
Fractional positions:
1 Li 0.0000 0.5689 0.4311  6 O 2.10-2.14
2 O 0.9200 0.5000 0.0800  1 V 1.66
3 Li 0.5689 0.4311 0.0000  6 O 2.10-2.14
4 O 0.9119 0.2149 0.3392  1 V 1.74
5 Sr 0.0000 0.0000 0.0000  6 O 2.70
6 O 0.7851 0.0881 0.6608  1 V 1.74
7 O 0.2149 0.3392 0.9119  1 V 1.74
8 V 0.5000 0.9327 0.0673  3 O 1.66-1.74
9 V 0.5000 0.5000 0.5000  3 O 1.72
10 O 0.6608 0.7851 0.0881  1 V 1.74
11 O 0.5000 0.0800 0.9200  1 V 1.66
12 V 0.9327 0.0673 0.5000  3 O 1.66-1.74
13 O 0.3471 0.6529 0.5000  1 V 1.72
14 V 0.0673 0.5000 0.9327  3 O 1.66-1.74
15 O 0.6529 0.5000 0.3471  1 V 1.72
16 O 0.5000 0.3471 0.6529  1 V 1.72
17 O 0.0800 0.9200 0.5000  1 V 1.66
18 Li 0.4311 0.0000 0.5689  6 O 2.10-2.14
19 O 0.0881 0.6608 0.7851  1 V 1.74
20 O 0.3392 0.9119 0.2149  1 V 1.74